Record 1
Computed, not measured: a PBEsol-optimized structure of FeReAuSe2 at the meta-GGA SCAN level of DFT.

Structure (POSCAR):
```
FeReAuSe2
1.0
4.904 0.000 0.000
0.000 4.904 0.000
0.000 0.000 5.057
Fe Re Au Se
1 1 1 2
direct
0.000 0.000 0.000 Fe
0.500 0.500 0.000 Re
0.500 0.500 0.500 Au
0.000 0.500 0.500 Se
0.500 0.000 0.500 Se
```

Output
- space-group type = P4/mmm
- energy relative to the elements, uncorrected (eV per atom) = 1.74

---

Record 2
Computed, not measured: a PBEsol-optimized structure of FeRh2Au at the meta-GGA SCAN level of DFT.

Structure (POSCAR):
```
FeRh2Au
1.0
2.709 -3.708 0.000
2.709 3.708 0.000
0.000 0.000 2.796
Fe Rh Au
1 2 1
direct
0.000 0.000 0.000 Fe
0.000 0.500 0.500 Rh
0.500 0.000 0.500 Rh
0.500 0.500 0.000 Au
```

Output
- space-group type = Cmmm
- energy (eV/cell) = -154.8

---

Record 3
Computed, not measured: a PBEsol-optimized structure of FeRhAu2 at the meta-GGA SCAN level of DFT.

Structure (POSCAR):
```
FeRhAu2
1.0
2.779 0.000 0.000
0.000 2.779 0.000
0.000 0.000 7.660
Fe Rh Au
1 1 2
direct
0.000 0.000 0.000 Fe
0.500 0.500 0.206 Rh
0.000 0.000 0.472 Au
0.500 0.500 0.756 Au
```

Output
- excess energy over the best structure of this formula in the dataset (meV per atom) = 7
- space-group type = P4mm

---

Record 4
Computed, not measured: a PBEsol-optimized structure of Fe2RhAu at the meta-GGA SCAN level of DFT.

Structure (POSCAR):
```
Fe2RhAu
1.0
2.700 0.000 0.000
0.000 3.684 0.000
0.000 0.000 5.409
Fe Rh Au
2 1 1
direct
0.000 0.000 0.227 Fe
0.000 0.000 0.773 Fe
0.500 0.500 0.000 Rh
0.500 0.500 0.500 Au
```

Output
- space-group type = Pmmm
- energy (eV/cell) = -139.7

---

Record 5
Computed, not measured: a PBEsol-optimized structure of FeRhAu2 at the meta-GGA SCAN level of DFT.

Structure (POSCAR):
```
FeRhAu2
1.0
2.762 0.000 0.000
0.000 2.762 0.000
0.000 0.000 7.718
Fe Rh Au
1 1 2
direct
0.000 0.000 0.000 Fe
0.000 0.000 0.500 Rh
0.500 0.500 0.240 Au
0.500 0.500 0.760 Au
```

Output
- excess energy over the best structure of this formula in the dataset (meV per atom) = 132
- space-group type = P4/mmm

---

Record 6
Computed, not measured: a PBEsol-optimized structure of FeRhAu2 at the meta-GGA SCAN level of DFT.

Structure (POSCAR):
```
FeRhAu2
1.0
2.719 -3.864 0.000
2.719 3.864 0.000
0.000 0.000 2.831
Fe Rh Au
1 1 2
direct
0.000 0.000 0.000 Fe
0.500 0.500 0.000 Rh
0.000 0.500 0.500 Au
0.500 0.000 0.500 Au
```

Output
- excess energy over the best structure of this formula in the dataset (meV per atom) = 96
- space-group type = Cmmm

---

Record 7
Computed, not measured: a PBEsol-optimized structure of Fe2RhAu at the meta-GGA SCAN level of DFT.

Structure (POSCAR):
```
Fe2RhAu
1.0
3.803 0.000 0.000
0.000 3.803 0.000
0.000 0.000 3.713
Fe Rh Au
2 1 1
direct
0.000 0.500 0.000 Fe
0.500 0.000 0.000 Fe
0.000 0.000 0.500 Rh
0.500 0.500 0.500 Au
```

Output
- space-group type = P4/mmm
- energy (eV/cell) = -139.8

---

Record 8
Computed, not measured: a PBEsol-optimized structure of FeRhAu2 at the meta-GGA SCAN level of DFT.

Structure (POSCAR):
```
FeRhAu2
1.0
2.850 0.000 0.000
0.000 3.595 0.000
0.000 0.000 5.826
Fe Rh Au
1 1 2
direct
0.000 0.000 0.000 Fe
0.500 0.500 0.205 Rh
0.000 0.000 0.469 Au
0.500 0.500 0.744 Au
```

Output
- excess energy over the best structure of this formula in the dataset (meV per atom) = 0
- space-group type = Pmm2

---

Record 9
Computed, not measured: a PBEsol-optimized structure of FeRh2Au at the meta-GGA SCAN level of DFT.

Structure (POSCAR):
```
FeRh2Au
1.0
1.400 -2.281 0.000
1.400 2.281 0.000
0.000 0.000 8.907
Fe Rh Au
1 2 1
direct
0.000 0.000 0.000 Fe
0.500 0.500 0.227 Rh
0.500 0.500 0.773 Rh
0.000 0.000 0.500 Au
```

Output
- space-group type = Cmmm
- energy (eV/cell) = -154.7

---

Record 10
Computed, not measured: a PBEsol-optimized structure of Fe2RuAu at the meta-GGA SCAN level of DFT.

Structure (POSCAR):
```
Fe2RuAu
1.0
2.650 0.000 0.000
0.000 2.650 0.000
0.000 0.000 7.498
Fe Ru Au
2 1 1
direct
0.000 0.000 0.232 Fe
0.000 0.000 0.768 Fe
0.500 0.500 0.000 Ru
0.500 0.500 0.500 Au
```

Output
- excess energy over the best structure of this formula in the dataset (meV per atom) = 20
- space-group type = P4/mmm

---

Record 11
Computed, not measured: a PBEsol-optimized structure of Fe2RuAu at the meta-GGA SCAN level of DFT.

Structure (POSCAR):
```
Fe2RuAu
1.0
-1.904 1.904 3.630
1.904 -1.904 3.630
1.904 1.904 -3.630
Fe Ru Au
2 1 1
direct
0.250 0.750 0.500 Fe
0.750 0.250 0.500 Fe
0.000 0.000 0.000 Ru
0.500 0.500 0.000 Au
```

Output
- excess energy over the best structure of this formula in the dataset (meV per atom) = 0
- space-group type = I4/mmm

---

Record 12
Computed, not measured: a PBEsol-optimized structure of Fe2RuAu at the meta-GGA SCAN level of DFT.

Structure (POSCAR):
```
Fe2RuAu
1.0
4.385 -1.340 0.000
4.385 1.340 0.000
-1.019 0.000 4.471
Fe Ru Au
2 1 1
direct
0.000 0.000 0.000 Fe
0.732 0.732 0.255 Fe
0.254 0.254 0.801 Ru
0.490 0.490 0.495 Au
```

Output
- excess energy over the best structure of this formula in the dataset (meV per atom) = 79
- space-group type = Cm